Record 1
DFT (PBE-GGA) results for a relaxed structure of Sr2FeAg.

- Total DFT energy (no corrections): -12.74 eV per cell
- Total magnetization: 2.4 μB/f.u.

abc: 3.967 4.854 6.557
angles: 90.00 90.00 90.00
Atoms (fractional coordinates):
Sr 0.000 0.000 0.000
Sr 0.500 0.500 0.399
Fe 0.500 0.500 0.884
Ag 0.000 0.000 0.523

=====

Record 2
DFT (PBE-GGA) results for a relaxed structure of Sr2FeAg.

- Total DFT energy (no corrections): -12.76 eV per cell
- Total magnetization: 2.3 μB/f.u.

abc: 4.352 4.352 8.720
angles: 99.88 99.88 51.56
Atoms (fractional coordinates):
Sr 0.249 0.249 0.237
Sr 0.751 0.751 0.763
Fe 0.500 0.500 0.000
Ag 0.000 0.000 0.500

=====

Record 3
DFT (PBE-GGA) results for a relaxed structure of Sr2FeAg.

- Total DFT energy (no corrections): -24.63 eV per cell
- Total magnetization: 2.2 μB/f.u.

abc: 6.907 6.907 6.907
angles: 105.06 105.06 118.71
Atoms (fractional coordinates):
Sr 0.120 0.625 0.995
Sr 0.375 0.370 0.495
Sr 0.630 0.125 0.005
Sr 0.875 0.880 0.505
Fe 0.000 0.000 0.000
Fe 0.750 0.250 0.500
Ag 0.250 0.750 0.500
Ag 0.500 0.500 0.000

=====

Record 4
DFT (PBE-GGA) results for a relaxed structure of SrFeAg4.

- Total DFT energy (no corrections): -20.26 eV per cell
- Total magnetization: 2.9 μB/f.u.

abc: 5.639 5.639 5.639
angles: 60.00 60.00 60.00
Atoms (fractional coordinates):
Sr 0.000 0.000 0.000
Fe 0.250 0.250 0.250
Ag 0.127 0.624 0.624
Ag 0.624 0.127 0.624
Ag 0.624 0.624 0.127
Ag 0.624 0.624 0.624

=====

Record 5
DFT (PBE-GGA) results for a relaxed structure of Sr4FeAg.

- Total DFT energy (no corrections): -12.36 eV per cell
- Total magnetization: 2.5 μB/f.u.

abc: 7.149 7.149 7.149
angles: 60.00 60.00 60.00
Atoms (fractional coordinates):
Sr 0.125 0.125 0.125
Sr 0.125 0.125 0.625
Sr 0.125 0.625 0.125
Sr 0.625 0.125 0.125
Fe 0.500 0.500 0.500
Ag 0.750 0.750 0.750

=====

Record 6
DFT (PBE-GGA) results for a relaxed structure of SrFe3Ag.

- Total DFT energy (no corrections): -24.38 eV per cell
- Offset from the most stable computed form: 0.0 kJ/mol of atoms
- Total magnetization: 9.0 μB/f.u.

abc: 4.886 4.886 4.886
angles: 90.00 90.00 90.00
Atoms (fractional coordinates):
Sr 0.000 0.000 0.000
Fe 0.000 0.500 0.500
Fe 0.500 0.000 0.500
Fe 0.500 0.500 0.000
Ag 0.500 0.500 0.500

=====

Record 7
DFT (PBE-GGA) results for a relaxed structure of Sr2FeAg.

- Total DFT energy (no corrections): -12.86 eV per cell
- Total magnetization: 2.4 μB/f.u.

abc: 6.375 6.375 6.375
angles: 137.83 137.83 61.16
Atoms (fractional coordinates):
Sr 0.000 0.000 0.000
Sr 0.750 0.250 0.500
Fe 0.500 0.500 0.000
Ag 0.250 0.750 0.500

=====

Record 8
DFT (PBE-GGA) results for a relaxed structure of Sr2FeAg.

- Total DFT energy (no corrections): -13.50 eV per cell
- Total magnetization: 2.2 μB/f.u.

abc: 3.777 3.830 7.890
angles: 90.00 90.14 90.00
Atoms (fractional coordinates):
Sr 0.001 0.000 0.259
Sr 0.999 0.000 0.741
Fe 0.500 0.500 0.500
Ag 0.500 0.500 0.000

=====

Record 9
DFT (PBE-GGA) results for a relaxed structure of Sr2FeAg.

- Total DFT energy (no corrections): -13.42 eV per cell
- Total magnetization: 2.4 μB/f.u.

abc: 5.550 5.550 3.727
angles: 90.00 90.00 90.00
Atoms (fractional coordinates):
Sr 0.000 0.500 0.000
Sr 0.500 0.000 0.000
Fe 0.000 0.000 0.500
Ag 0.500 0.500 0.500

=====

Record 10
DFT (PBE-GGA) results for a relaxed structure of Sr2FeAg.

- Total DFT energy (no corrections): -13.28 eV per cell
- Total magnetization: 3.1 μB/f.u.

abc: 3.700 3.700 8.813
angles: 90.00 90.00 90.00
Atoms (fractional coordinates):
Sr 0.000 0.000 0.000
Sr 0.500 0.500 0.399
Fe 0.500 0.500 0.758
Ag 0.000 0.000 0.641

=====

Record 11
DFT (PBE-GGA) results for a relaxed structure of Sr2FeAg.

- Total DFT energy (no corrections): -12.52 eV per cell
- Total magnetization: 2.8 μB/f.u.

abc: 5.352 5.352 5.352
angles: 60.00 60.00 60.00
Atoms (fractional coordinates):
Sr 0.000 0.000 0.000
Sr 0.250 0.250 0.250
Fe 0.750 0.750 0.750
Ag 0.500 0.500 0.500

=====

Record 12
DFT (PBE-GGA) results for a relaxed structure of SrFe3Ag.

- Total DFT energy (no corrections): -18.88 eV per cell
- Offset from the most stable computed form: 106.2 kJ/mol of atoms
- Total magnetization: 7.4 μB/f.u.

abc: 4.756 4.756 4.756
angles: 90.00 90.00 90.00
Atoms (fractional coordinates):
Sr 0.000 0.000 0.000
Fe 0.000 0.000 0.500
Fe 0.000 0.500 0.000
Fe 0.500 0.000 0.000
Ag 0.500 0.500 0.500

=====

Record 13
DFT (PBE-GGA) results for a relaxed structure of Sr2FeAg.

- Total DFT energy (no corrections): -13.79 eV per cell
- Total magnetization: 2.4 μB/f.u.

abc: 4.558 6.251 6.251
angles: 43.59 90.00 90.00
Atoms (fractional coordinates):
Sr 0.000 0.000 0.000
Sr 0.500 0.288 0.288
Fe 0.500 0.586 0.586
Ag 0.000 0.701 0.701

=====

Record 14
DFT (PBE-GGA) results for a relaxed structure of Sr2FeAg.

- Total DFT energy (no corrections): -13.41 eV per cell
- Total magnetization: 2.4 μB/f.u.

abc: 6.685 6.685 6.685
angles: 146.64 134.18 57.85
Atoms (fractional coordinates):
Sr 0.000 0.000 0.000
Sr 0.715 0.215 0.500
Fe 0.435 0.435 0.000
Ag 0.280 0.780 0.500

=====

Record 15
DFT (PBE-GGA) results for a relaxed structure of Ta2FeAg.

- Total DFT energy (no corrections): -34.31 eV per cell
- Offset from the most stable computed form: 4.1 kJ/mol of atoms
- Total magnetization: 0.6 μB/f.u.

abc: 3.095 3.095 6.842
angles: 90.00 90.00 90.00
Atoms (fractional coordinates):
Ta 0.000 0.000 0.000
Ta 0.500 0.500 0.282
Fe 0.500 0.500 0.817
Ag 0.000 0.000 0.563

=====

Record 16
DFT (PBE-GGA) results for a relaxed structure of Ta3FeAg.

- Total DFT energy (no corrections): -42.99 eV per cell
- Offset from the most stable computed form: 0.0 kJ/mol of atoms
- Total magnetization: 0.0 μB/f.u.

abc: 4.581 4.581 4.581
angles: 90.00 90.00 90.00
Atoms (fractional coordinates):
Ta 0.000 0.000 0.500
Ta 0.000 0.500 0.000
Ta 0.500 0.000 0.000
Fe 0.000 0.000 0.000
Ag 0.500 0.500 0.500

=====

Record 17
DFT (PBE-GGA) results for a relaxed structure of Ta2FeAg.

- Total DFT energy (no corrections): -33.83 eV per cell
- Offset from the most stable computed form: 15.5 kJ/mol of atoms
- Total magnetization: 0.9 μB/f.u.

abc: 5.347 5.347 4.644
angles: 114.48 114.48 33.03
Atoms (fractional coordinates):
Ta 0.000 0.000 0.000
Ta 0.225 0.225 0.758
Fe 0.517 0.517 0.489
Ag 0.779 0.779 0.312

=====

Record 18
DFT (PBE-GGA) results for a relaxed structure of Ta2FeAg.

- Total DFT energy (no corrections): -33.55 eV per cell
- Offset from the most stable computed form: 22.4 kJ/mol of atoms
- Total magnetization: 1.1 μB/f.u.

abc: 4.521 4.521 4.521
angles: 60.00 60.00 60.00
Atoms (fractional coordinates):
Ta 0.250 0.250 0.250
Ta 0.750 0.750 0.750
Fe 0.000 0.000 0.000
Ag 0.500 0.500 0.500

=====

Record 19
DFT (PBE-GGA) results for a relaxed structure of Ta2FeAg.

- Total DFT energy (no corrections): -33.45 eV per cell
- Offset from the most stable computed form: 24.8 kJ/mol of atoms
- Total magnetization: 1.4 μB/f.u.

abc: 5.026 5.026 5.026
angles: 133.64 133.64 67.65
Atoms (fractional coordinates):
Ta 0.000 0.000 0.000
Ta 0.750 0.250 0.500
Fe 0.500 0.500 0.000
Ag 0.250 0.750 0.500

=====

Record 20
DFT (PBE-GGA) results for a relaxed structure of Ta2FeAg.

- Total DFT energy (no corrections): -63.33 eV per cell
- Offset from the most stable computed form: 67.9 kJ/mol of atoms
- Total magnetization: 2.1 μB/f.u.

abc: 10.069 10.069 10.069
angles: 157.99 157.99 31.32
Atoms (fractional coordinates):
Ta 0.116 0.625 0.991
Ta 0.375 0.366 0.491
Ta 0.634 0.125 0.009
Ta 0.875 0.884 0.509
Fe 0.000 0.000 0.000
Fe 0.750 0.250 0.500
Ag 0.250 0.750 0.500
Ag 0.500 0.500 0.000

=====

| no. | density of states at the Fermi level (states/eV/atom) | formation energy (meV/atom) |
| --- | --- | --- |
| 1 | 1.14 | 485 |
| 2 | 1.45 | 480 |
| 3 | 1.75 | 591 |
| 4 | 0.78 | 214 |
| 5 | 2.14 | 947 |
| 6 | 2.24 | 1108 |
| 7 | 1.55 | 455 |
| 8 | 1.59 | 295 |
| 9 | 1.55 | 316 |
| 10 | 1.66 | 349 |
| 11 | 1.57 | 540 |
| 12 | 1.56 | 2208 |
| 13 | 1.60 | 222 |
| 14 | 1.27 | 316 |
| 15 | 0.69 | 178 |
| 16 | 1.01 | 776 |
| 17 | 0.87 | 296 |
| 18 | 0.78 | 367 |
| 19 | 1.12 | 392 |
| 20 | 1.21 | 839 |